No. 1
First-principles (PBE-GGA) data for an optimized crystal structure of NdSmBr2, as listed in Alexandria via LeMat-Bulk.

It has space group R-3m (No. 166, hexagonal axes), with a = 3.7265 Å, b = 3.7265 Å, c = 30.8540 Å, α = 90.00°, β = 90.00° and γ = 120.00°. The distinct sites, in fractional coordinates, are Nd at (0.0000, 0.0000, 0.0000), Sm at (0.0000, 0.0000, 0.5000) and Br at (0.0000, 0.0000, 0.0977).

The excess energy over the best structure of this formula in the dataset comes out at 60 meV/atom. As for the total DFT energy (no corrections): -0.314 Ry/atom. The calculation puts the volume at 30.92 Å³/atom. The density of states at the Fermi level comes out at 10.4 states/eV/cell. The uncorrected formation energy comes out at -4.24 eV per formula unit.

***

No. 2
First-principles (PBE-GGA) data for an optimized crystal structure of Tl2IrCl, as listed in Alexandria via LeMat-Bulk.

It has space group Amm2 (No. 38), with a = 4.9542 Å, b = 3.2243 Å, c = 11.0404 Å, α = 90.00°, β = 90.00° and γ = 90.00°. The distinct sites, in fractional coordinates, are Tl at (0.0000, 0.0000, 0.0000), Tl at (0.5000, 0.0000, 0.2517), Ir at (0.5000, 0.0000, 0.5114) and Cl at (0.0000, 0.0000, 0.7442).

The excess energy over the best structure of this formula in the dataset comes out at 39 meV/atom. As for the total DFT energy (no corrections): -0.275 Ry/atom. The calculation puts the volume at 22.04 Å³/atom. The density of states at the Fermi level comes out at 3.2 states/eV/cell. The uncorrected formation energy comes out at 0.49 eV per formula unit.

***

No. 3
First-principles (PBE-GGA) data for an optimized crystal structure of La3Nd4PuN8, as listed in Alexandria via LeMat-Bulk.

It has space group R-3m (No. 166, hexagonal axes), with a = 7.3290 Å, b = 7.3290 Å, c = 17.9424 Å, α = 90.00°, β = 90.00° and γ = 120.00°. The distinct sites, in fractional coordinates, are La at (0.0000, 0.5000, 0.0000), Nd at (0.0000, 0.0000, 0.5000), Nd at (0.0000, 0.5000, 0.5000), Pu at (0.0000, 0.0000, 0.0000), N at (0.0000, 0.0000, 0.2489) and N at (0.0155, 0.5077, 0.7479).

As for the total DFT energy (no corrections): -0.624 Ry/atom. The calculation puts the volume at 17.39 Å³/atom. The density of states at the Fermi level comes out at 29.4 states/eV/cell. The uncorrected formation energy comes out at -20.95 eV per formula unit.

***

No. 4
First-principles (PBE-GGA) data for an optimized crystal structure of RbPu2CoS4, as listed in Alexandria via LeMat-Bulk.

It has space group Cmcm (No. 63), with a = 3.9462 Å, b = 13.9359 Å, c = 13.5580 Å, α = 90.00°, β = 90.00° and γ = 90.00°. The distinct sites, in fractional coordinates, are Rb at (0.0000, 0.1000, 0.2500), Pu at (0.0000, 0.3659, 0.0574), Co at (0.0000, 0.1717, 0.7500), S at (0.0000, 0.0000, 0.0000), S at (0.0000, 0.2580, 0.6108) and S at (0.0000, 0.4136, 0.2500).

As for the total DFT energy (no corrections): -0.591 Ry/atom. The calculation puts the volume at 23.30 Å³/atom. The density of states at the Fermi level comes out at 66.4 states/eV/cell. The uncorrected formation energy comes out at -11.12 eV per formula unit.

***

No. 5
First-principles (PBE-GGA) data for an optimized crystal structure of Rb2TmCl5, as listed in Alexandria via LeMat-Bulk.

It has space group Pnma (No. 62), with a = 13.2888 Å, b = 8.7267 Å, c = 8.3515 Å, α = 90.00°, β = 90.00° and γ = 90.00°. The distinct sites, in fractional coordinates, are Rb at (0.1690, 0.0088, 0.0738), Tm at (0.0047, 0.2500, 0.5676), Cl at (0.0167, 0.2500, 0.8884), Cl at (0.0590, 0.5465, 0.6609), Cl at (0.1767, 0.2500, 0.4112) and Cl at (0.1884, 0.7500, 0.3622).

The excess energy over the best structure of this formula in the dataset comes out at 13 meV/atom. As for the total DFT energy (no corrections): -0.302 Ry/atom. The calculation puts the volume at 30.27 Å³/atom. The density of states at the Fermi level comes out at 0.0 states/eV/cell. The uncorrected formation energy comes out at -17.23 eV per formula unit.

***

No. 6
First-principles (PBE-GGA) data for an optimized crystal structure of Pm2Pr8Sn, as listed in Alexandria via LeMat-Bulk.

It has space group Immm (No. 71), with a = 5.6735 Å, b = 7.7751 Å, c = 17.8018 Å, α = 90.00°, β = 90.00° and γ = 90.00°. The distinct sites, in fractional coordinates, are Pm at (0.0000, 0.0000, 0.1924), Pr at (0.0000, 0.2442, 0.0000), Pr at (0.0000, 0.2734, 0.3636), Pr at (0.0000, 0.5000, 0.1763) and Sn at (0.0000, 0.0000, 0.5000).

The excess energy over the best structure of this formula in the dataset comes out at 62 meV/atom. As for the total DFT energy (no corrections): -0.350 Ry/atom. The calculation puts the volume at 35.69 Å³/atom. The density of states at the Fermi level comes out at 28.5 states/eV/cell.

***

No. 7
First-principles (PBE-GGA) data for an optimized crystal structure of TiRe2S, as listed in Alexandria via LeMat-Bulk.

It has space group I-42d (No. 122), with a = 7.3350 Å, b = 7.3350 Å, c = 4.7687 Å, α = 90.00°, β = 90.00° and γ = 90.00°. The distinct sites, in fractional coordinates, are Ti at (0.0000, 0.0000, 0.0000), Re at (0.1618, 0.2500, 0.6250) and S at (0.0000, 0.0000, 0.5000).

As for the total DFT energy (no corrections): -0.661 Ry/atom. The calculation puts the volume at 16.04 Å³/atom. The density of states at the Fermi level comes out at 16.4 states/eV/cell. The uncorrected formation energy comes out at 0.94 eV per formula unit.

***

No. 8
First-principles (PBE-GGA) data for an optimized crystal structure of BeNbOsRh, as listed in Alexandria via LeMat-Bulk.

It has space group F-43m (No. 216), with a = 6.0899 Å, b = 6.0899 Å, c = 6.0899 Å, α = 90.00°, β = 90.00° and γ = 90.00°. The distinct sites, in fractional coordinates, are Be at (0.0000, 0.0000, 0.0000), Nb at (0.0000, 0.0000, 0.5000), Os at (0.2500, 0.2500, 0.2500) and Rh at (0.2500, 0.2500, 0.7500).

As for the total DFT energy (no corrections): -0.618 Ry/atom. The calculation puts the volume at 14.12 Å³/atom. The density of states at the Fermi level comes out at 2.6 states/eV/cell.

***

No. 9
First-principles (PBE-GGA) data for an optimized crystal structure of Tb3CePb2, as listed in Alexandria via LeMat-Bulk.

It has space group Ibam (No. 72), with a = 7.5541 Å, b = 14.7661 Å, c = 7.4740 Å, α = 90.00°, β = 90.00° and γ = 90.00°. The distinct sites, in fractional coordinates, are Tb at (0.0000, 0.0000, 0.2500), Tb at (0.0000, 0.2906, 0.2500), Ce at (0.0000, 0.5000, 0.0000) and Pb at (0.1803, 0.1438, 0.0000).

As for the total DFT energy (no corrections): -0.342 Ry/atom. The calculation puts the volume at 34.74 Å³/atom. The density of states at the Fermi level comes out at 43.1 states/eV/cell.

***

No. 10
First-principles (PBE-GGA) data for an optimized crystal structure of LiMgIO2, as listed in Alexandria via LeMat-Bulk.

It has space group P4/mmm (No. 123), with a = 3.9784 Å, b = 3.9784 Å, c = 5.1659 Å, α = 90.00°, β = 90.00° and γ = 90.00°. The distinct sites, in fractional coordinates, are Li at (0.0000, 0.0000, 0.0000), Mg at (0.5000, 0.5000, 0.5000), I at (0.0000, 0.0000, 0.5000) and O at (0.0000, 0.5000, 0.0000).

The excess energy over the best structure of this formula in the dataset comes out at 608 meV/atom. As for the total DFT energy (no corrections): -0.235 Ry/atom. The calculation puts the volume at 16.35 Å³/atom. The density of states at the Fermi level comes out at 5.8 states/eV/cell. The uncorrected formation energy comes out at -1.00 eV per formula unit.

***

No. 11
First-principles (PBE-GGA) data for an optimized crystal structure of YPCl, as listed in Alexandria via LeMat-Bulk.

It has space group P4/nmm (No. 129, origin choice 2), with a = 3.9488 Å, b = 3.9488 Å, c = 8.2268 Å, α = 90.00°, β = 90.00° and γ = 90.00°. The distinct sites, in fractional coordinates, are Y at (0.2500, 0.2500, 0.2348), P at (0.2500, 0.7500, 0.0000) and Cl at (0.2500, 0.2500, 0.6207).

The excess energy over the best structure of this formula in the dataset comes out at 0 meV/atom. As for the total DFT energy (no corrections): -0.442 Ry/atom. The calculation puts the volume at 21.38 Å³/atom. The density of states at the Fermi level comes out at 1.4 states/eV/cell. The uncorrected formation energy comes out at -4.33 eV per formula unit.

***

No. 12
First-principles (PBE-GGA) data for an optimized crystal structure of Tl3Se2, as listed in Alexandria via LeMat-Bulk.

It has space group P-3m1 (No. 164), with a = 5.2177 Å, b = 5.2177 Å, c = 6.8276 Å, α = 90.00°, β = 90.00° and γ = 120.00°. The distinct sites, in fractional coordinates, are Tl at (0.0000, 0.0000, 0.0000), Tl at (0.3333, 0.6667, 0.3157) and Se at (0.3333, 0.6667, 0.7729).

The excess energy over the best structure of this formula in the dataset comes out at 19 meV/atom. As for the total DFT energy (no corrections): -0.228 Ry/atom. The calculation puts the volume at 32.20 Å³/atom. The density of states at the Fermi level comes out at 3.4 states/eV/cell. The uncorrected formation energy comes out at -1.44 eV per formula unit.

***

Number 2 is which compound? Tl2IrCl